1.
# KSc2Be, relaxed, DFT PBE-GGA
# - ΔE_f (eV/atom) = 0.3049
data_KSc2Be
_chemical_formula_sum 'K1 Sc2 Be1'
_cell_length_a 3.2629
_cell_length_b 3.2646
_cell_length_c 9.9447
_cell_angle_alpha 90.00
_cell_angle_beta 90.14
_cell_angle_gamma 90.00
_symmetry_space_group_name_H-M 'P 1 2/m 1'
_symmetry_Int_Tables_number 10
loop_
_symmetry_equiv_pos_as_xyz
'x,y,z'
'-x,-y,-z'
'-x,y,-z'
'x,-y,z'
loop_
_atom_site_label
_atom_site_fract_x
_atom_site_fract_y
_atom_site_fract_z
K1 0.0000 0.0000 0.0000
Sc1 0.4989 0.5000 0.3517
Be1 0.0000 0.0000 0.5000

=====

2.
The following is a DFT calculation (PBE-GGA) of Nd3Bi3H2 after structural relaxation.

Structure (CIF):
```
data_Nd3Bi3H2
_chemical_formula_sum 'Nd3 Bi3 H2'
_cell_length_a 3.6399
_cell_length_b 5.9437
_cell_length_c 9.4820
_cell_angle_alpha 80.06
_cell_angle_beta 79.95
_cell_angle_gamma 89.93
_symmetry_space_group_name_H-M 'P -1'
_symmetry_Int_Tables_number 2
loop_
_symmetry_equiv_pos_as_xyz
'x,y,z'
'-x,-y,-z'
loop_
_atom_site_label
_atom_site_fract_x
_atom_site_fract_y
_atom_site_fract_z
Nd1 0.0000 0.0000 0.0000
Nd2 0.1797 0.5876 0.6598
Bi1 0.3339 0.9252 0.3134
Bi2 0.5000 0.5000 0.0000
H1 0.2614 0.3958 0.4714
```

=====

3.
# TeSe, relaxed, DFT PBE-GGA
# - formation energy without anion corrections (eV/atom) = 0.18
data_TeSe
_chemical_formula_sum 'Te4 Se4'
_cell_length_a 7.7043
_cell_length_b 7.7043
_cell_length_c 7.7043
_cell_angle_alpha 90.00
_cell_angle_beta 90.00
_cell_angle_gamma 90.00
_symmetry_space_group_name_H-M 'P 21 3'
_symmetry_Int_Tables_number 198
_symmetry_space_group_name_Hall 'P 2ac 2ab 3'
loop_
_atom_site_label
_atom_site_fract_x
_atom_site_fract_y
_atom_site_fract_z
Te1 0.1215 0.3785 0.6215
Se1 0.1156 0.6156 0.8844

=====

4.
# Sr3MoI, relaxed, DFT PBE-GGA
# - formation energy without anion corrections (eV/atom) = 0.41
# - distance to the lowest polymorph of the same formula (eV/atom) = 0.000
data_Sr3MoI
_chemical_formula_sum 'Sr3 Mo1 I1'
_cell_length_a 5.8461
_cell_length_b 5.8461
_cell_length_c 5.8461
_cell_angle_alpha 90.00
_cell_angle_beta 90.00
_cell_angle_gamma 90.00
_symmetry_space_group_name_H-M 'P m -3 m'
_symmetry_Int_Tables_number 221
_symmetry_space_group_name_Hall '-P 4 2 3'
loop_
_atom_site_label
_atom_site_fract_x
_atom_site_fract_y
_atom_site_fract_z
Sr1 0.0000 0.0000 0.5000
Mo1 0.0000 0.0000 0.0000
I1 0.5000 0.5000 0.5000

=====

5.
# HfTiTcIr, relaxed, DFT PBE-GGA
# - ΔE_f (eV/atom) = -0.8095
data_HfTiTcIr
_chemical_formula_sum 'Hf4 Ti4 Tc4 Ir4'
_cell_length_a 6.3710
_cell_length_b 6.3710
_cell_length_c 6.3710
_cell_angle_alpha 90.00
_cell_angle_beta 90.00
_cell_angle_gamma 90.00
_symmetry_space_group_name_H-M 'F -4 3 m'
_symmetry_Int_Tables_number 216
_symmetry_space_group_name_Hall 'F -4 2 3'
loop_
_atom_site_label
_atom_site_fract_x
_atom_site_fract_y
_atom_site_fract_z
Hf1 0.0000 0.0000 0.0000
Ti1 0.0000 0.0000 0.5000
Tc1 0.2500 0.2500 0.7500
Ir1 0.2500 0.2500 0.2500

=====

6.
# La2Pr4Hg3O2, relaxed, DFT PBE-GGA
# - formation energy without anion corrections (eV/atom) = -1.24
data_La2Pr4Hg3O2
_chemical_formula_sum 'La4 Pr8 Hg6 O4'
_cell_length_a 5.0346
_cell_length_b 5.0346
_cell_length_c 24.1761
_cell_angle_alpha 90.00
_cell_angle_beta 90.00
_cell_angle_gamma 90.00
_symmetry_space_group_name_H-M 'I 4/m m m'
_symmetry_Int_Tables_number 139
_symmetry_space_group_name_Hall '-I 4 2'
loop_
_atom_site_label
_atom_site_fract_x
_atom_site_fract_y
_atom_site_fract_z
La1 0.0000 0.0000 0.2007
Pr1 0.0000 0.5000 0.0840
Hg1 0.0000 0.0000 0.3310
Hg2 0.0000 0.0000 0.5000
O1 0.0000 0.0000 0.1051

=====

7.
# TbPm2Ho5, relaxed, DFT PBE-GGA
# - distance to the lowest polymorph of the same formula (eV/atom) = 0.169
# - ΔE_f (eV/atom) = 0.1872
data_TbPm2Ho5
_chemical_formula_sum 'Tb2 Pm4 Ho10'
_cell_length_a 5.9064
_cell_length_b 8.6284
_cell_length_c 10.7384
_cell_angle_alpha 89.93
_cell_angle_beta 90.00
_cell_angle_gamma 72.40
_symmetry_space_group_name_H-M 'P -1'
_symmetry_Int_Tables_number 2
loop_
_symmetry_equiv_pos_as_xyz
'x,y,z'
'-x,-y,-z'
loop_
_atom_site_label
_atom_site_fract_x
_atom_site_fract_y
_atom_site_fract_z
Tb1 0.0406 0.1319 0.2498
Pm1 0.3426 0.0499 0.6078
Pm2 0.3426 0.0502 0.8922
Ho1 0.2093 0.7671 0.0833
Ho2 0.2094 0.7670 0.4171
Ho3 0.2567 0.4442 0.7499
Ho4 0.2910 0.3748 0.4130
Ho5 0.2916 0.3748 0.0868

=====

8.
# CrNi2SnOs, relaxed, DFT PBE-GGA
# - ΔE_f (eV/atom) = 1.0475
data_CrNi2SnOs
_chemical_formula_sum 'Cr1 Ni2 Sn1 Os1'
_cell_length_a 4.6223
_cell_length_b 4.6223
_cell_length_c 4.5040
_cell_angle_alpha 90.00
_cell_angle_beta 90.00
_cell_angle_gamma 90.00
_symmetry_space_group_name_H-M 'P 4/m m m'
_symmetry_Int_Tables_number 123
_symmetry_space_group_name_Hall '-P 4 2'
loop_
_atom_site_label
_atom_site_fract_x
_atom_site_fract_y
_atom_site_fract_z
Cr1 0.0000 0.0000 0.0000
Ni1 0.0000 0.5000 0.5000
Sn1 0.5000 0.5000 0.0000
Os1 0.0000 0.0000 0.5000

=====

9.
# Ce14Pu3Au6, relaxed, DFT PBE-GGA
# - ΔE_f (eV/atom) = -0.3260
data_Ce14Pu3Au6
_chemical_formula_sum 'Ce14 Pu3 Au6'
_cell_length_a 10.3476
_cell_length_b 10.3476
_cell_length_c 6.3320
_cell_angle_alpha 90.00
_cell_angle_beta 90.00
_cell_angle_gamma 120.00
_symmetry_space_group_name_H-M 'P 3 m 1'
_symmetry_Int_Tables_number 156
loop_
_symmetry_equiv_pos_as_xyz
'x,y,z'
'-y,x-y,z'
'-x+y,-x,z'
'-y,-x,z'
'-x+y,y,z'
'x,x-y,z'
loop_
_atom_site_label
_atom_site_fract_x
_atom_site_fract_y
_atom_site_fract_z
Ce1 0.0000 0.0000 0.0000
Ce2 0.1053 0.5527 0.6058
Ce3 0.2184 0.4367 0.1572
Ce4 0.2734 0.1367 0.3464
Ce5 0.3901 0.1951 0.8393
Ce6 0.6667 0.3333 0.4853
Pu1 0.0000 0.0000 0.3872
Pu2 0.3333 0.6667 0.3795
Pu3 0.6667 0.3333 0.8702
Au1 0.1350 0.2700 0.6906
Au2 0.5336 0.0672 0.1589

=====

10.
# NdInSeO2, relaxed, DFT PBE-GGA
# - formation energy without anion corrections (eV/atom) = -2.06
data_NdInSeO2
_chemical_formula_sum 'Nd2 In2 Se2 O4'
_cell_length_a 7.0555
_cell_length_b 4.2121
_cell_length_c 7.6826
_cell_angle_alpha 90.00
_cell_angle_beta 117.08
_cell_angle_gamma 90.00
_symmetry_space_group_name_H-M 'P 1 21/m 1'
_symmetry_Int_Tables_number 11
loop_
_symmetry_equiv_pos_as_xyz
'x,y,z'
'-x,-y,-z'
'-x,y+1/2,-z'
'x,-y+1/2,z'
loop_
_atom_site_label
_atom_site_fract_x
_atom_site_fract_y
_atom_site_fract_z
Nd1 0.2375 0.2500 0.0550
In1 0.2927 0.7500 0.4516
Se1 0.2547 0.7500 0.7679
O1 0.1372 0.7500 0.1350
O2 0.3560 0.2500 0.3991

=====

11.
# Sm2ScTiO6, relaxed, DFT PBE-GGA
# - formation energy without anion corrections (eV/atom) = -3.32
data_Sm2ScTiO6
_chemical_formula_sum 'Sm4 Sc2 Ti2 O12'
_cell_length_a 5.5077
_cell_length_b 5.7904
_cell_length_c 9.5505
_cell_angle_alpha 90.00
_cell_angle_beta 124.43
_cell_angle_gamma 90.00
_symmetry_space_group_name_H-M 'P 1 21/c 1'
_symmetry_Int_Tables_number 14
loop_
_symmetry_equiv_pos_as_xyz
'x,y,z'
'-x,-y,-z'
'-x,y+1/2,-z+1/2'
'x,-y+1/2,z+1/2'
loop_
_atom_site_label
_atom_site_fract_x
_atom_site_fract_y
_atom_site_fract_z
Sm1 0.2301 0.0660 0.2488
Sc1 0.5000 0.0000 0.0000
Ti1 0.0000 0.0000 0.5000
O1 0.1339 0.1996 0.9412
O2 0.2466 0.6949 0.9447
O3 0.3555 0.0377 0.7437

=====

12.
# Sc2TaAg, relaxed, DFT PBE-GGA
# - distance to the lowest polymorph of the same formula (eV/atom) = 0.235
# - ΔE_f (eV/atom) = 0.1825
data_Sc2TaAg
_chemical_formula_sum 'Sc2 Ta1 Ag1'
_cell_length_a 3.1543
_cell_length_b 4.2854
_cell_length_c 6.0340
_cell_angle_alpha 90.00
_cell_angle_beta 90.00
_cell_angle_gamma 90.00
_symmetry_space_group_name_H-M 'P m m 2'
_symmetry_Int_Tables_number 25
loop_
_symmetry_equiv_pos_as_xyz
'x,y,z'
'-x,-y,z'
'-x,y,z'
'x,-y,z'
loop_
_atom_site_label
_atom_site_fract_x
_atom_site_fract_y
_atom_site_fract_z
Sc1 0.0000 0.0000 0.0000
Sc2 0.5000 0.5000 0.2860
Ta1 0.0000 0.0000 0.4986
Ag1 0.5000 0.5000 0.7676

=====

Number 1: E -4.07 eV per atom, Fermi-level density of states 1.003 states/eV/atom. Number 2: E -4.72 eV per atom, Fermi-level density of states 0.365 states/eV/atom. Number 3: E -3.14 eV per atom, Fermi-level density of states 0.705 states/eV/atom. Number 4: E -3.08 eV per atom, Fermi-level density of states 0.861 states/eV/atom. Number 5: E -10.08 eV per atom, Fermi-level density of states 0.352 states/eV/atom. Number 6: E -4.85 eV per atom, Fermi-level density of states 0.664 states/eV/atom. Number 7: E -4.44 eV per atom, Fermi-level density of states 1.534 states/eV/atom. Number 8: E -6.24 eV per atom, Fermi-level density of states 1.186 states/eV/atom. Number 9: E -6.66 eV per atom, Fermi-level density of states 1.929 states/eV/atom. Number 10: E -6.24 eV per atom, Fermi-level density of states 0.000 states/eV/atom. Number 11: E -8.66 eV per atom, Fermi-level density of states 0.294 states/eV/atom. Number 12: E -6.66 eV per atom, Fermi-level density of states 1.288 states/eV/atom.